# PBEsol La2Ni12P5, relaxed
# formation enthalpy at 0 K	-14.2	eV per formula unit
data_La2Ni12P5
_symmetry_space_group_name_H-M 'P 1'
_symmetry_Int_Tables_number 1
_cell_length_a 10.7964
_cell_length_b 3.6383
_cell_length_c 13.0137
_cell_angle_alpha 90.00
_cell_angle_beta 107.92
_cell_angle_gamma 90.00
loop_
_symmetry_equiv_pos_as_xyz
'x,y,z'
loop_
_atom_site_label
_atom_site_type_symbol
_atom_site_fract_x
_atom_site_fract_y
_atom_site_fract_z
_atom_site_occupancy
La1 La 0.2211 0.2500 0.1833 1
La2 La 0.2516 0.2500 0.6876 1
La3 La 0.7484 0.7500 0.3124 1
La4 La 0.7789 0.7500 0.8167 1
Ni1 Ni 0.0612 0.7500 0.2966 1
Ni2 Ni 0.0788 0.7500 0.9905 1
Ni3 Ni 0.0812 0.7500 0.4901 1
Ni4 Ni 0.0946 0.7500 0.8052 1
Ni5 Ni 0.2022 0.2500 0.4177 1
Ni6 Ni 0.2143 0.2500 0.9392 1
Ni7 Ni 0.3432 0.7500 0.0620 1
Ni8 Ni 0.3444 0.7500 0.3644 1
Ni9 Ni 0.4287 0.2500 0.5143 1
Ni10 Ni 0.4355 0.2500 0.9482 1
Ni11 Ni 0.4892 0.7500 0.6506 1
Ni12 Ni 0.4937 0.7500 0.8411 1
Ni13 Ni 0.5063 0.2500 0.1589 1
Ni14 Ni 0.5108 0.2500 0.3494 1
Ni15 Ni 0.5645 0.7500 0.0518 1
Ni16 Ni 0.5713 0.7500 0.4857 1
Ni17 Ni 0.6556 0.2500 0.6356 1
Ni18 Ni 0.6568 0.2500 0.9380 1
Ni19 Ni 0.7857 0.7500 0.0608 1
Ni20 Ni 0.7978 0.7500 0.5823 1
Ni21 Ni 0.9054 0.2500 0.1948 1
Ni22 Ni 0.9188 0.2500 0.5099 1
Ni23 Ni 0.9212 0.2500 0.0095 1
Ni24 Ni 0.9388 0.2500 0.7034 1
P1 P 0.0073 0.7500 0.6284 1
P2 P 0.0083 0.2500 0.8787 1
P3 P 0.2999 0.7500 0.5156 1
P4 P 0.3114 0.7500 0.8884 1
P5 P 0.4532 0.7500 0.2409 1
P6 P 0.5468 0.2500 0.7591 1
P7 P 0.6886 0.2500 0.1116 1
P8 P 0.7001 0.2500 0.4844 1
P9 P 0.9917 0.7500 0.1213 1
P10 P 0.9927 0.2500 0.3716 1


# PBEsol LaNiP2, relaxed
# formation enthalpy at 0 K	-2.4	eV per formula unit
data_LaNiP2
_symmetry_space_group_name_H-M 'P 1'
_symmetry_Int_Tables_number 1
_cell_length_a 3.8553
_cell_length_b 4.1425
_cell_length_c 9.1894
_cell_angle_alpha 90.00
_cell_angle_beta 90.00
_cell_angle_gamma 90.00
loop_
_symmetry_equiv_pos_as_xyz
'x,y,z'
loop_
_atom_site_label
_atom_site_type_symbol
_atom_site_fract_x
_atom_site_fract_y
_atom_site_fract_z
_atom_site_occupancy
La1 La 0.0000 0.0000 0.0000 1
La2 La 0.5000 0.5000 0.5000 1
Ni1 Ni 0.0000 0.5000 0.7583 1
Ni2 Ni 0.5000 0.0000 0.2583 1
P1 P 0.0000 0.0000 0.3646 1
P2 P 0.0000 0.5000 0.2413 1
P3 P 0.5000 0.0000 0.7413 1
P4 P 0.5000 0.5000 0.8646 1


# PBEsol La6Ni6P17, relaxed
# formation enthalpy at 0 K	-28.3	eV per formula unit
data_La6Ni6P17
_symmetry_space_group_name_H-M 'P 1'
_symmetry_Int_Tables_number 1
_cell_length_a 8.7180
_cell_length_b 8.7180
_cell_length_c 8.7180
_cell_angle_alpha 109.47
_cell_angle_beta 109.47
_cell_angle_gamma 109.47
loop_
_symmetry_equiv_pos_as_xyz
'x,y,z'
loop_
_atom_site_label
_atom_site_type_symbol
_atom_site_fract_x
_atom_site_fract_y
_atom_site_fract_z
_atom_site_occupancy
La1 La 0.0000 0.2904 0.2904 1
La2 La 0.0000 0.7096 0.7096 1
La3 La 0.2904 0.0000 0.2904 1
La4 La 0.2904 0.2904 0.0000 1
La5 La 0.7096 0.0000 0.7096 1
La6 La 0.7096 0.7096 0.0000 1
Ni1 Ni 0.2500 0.5000 0.7500 1
Ni2 Ni 0.2500 0.7500 0.5000 1
Ni3 Ni 0.5000 0.2500 0.7500 1
Ni4 Ni 0.5000 0.7500 0.2500 1
Ni5 Ni 0.7500 0.2500 0.5000 1
Ni6 Ni 0.7500 0.5000 0.2500 1
P1 P 0.0000 0.0000 0.0000 1
P2 P 0.0000 0.0000 0.4245 1
P3 P 0.0000 0.2327 0.6341 1
P4 P 0.0000 0.4245 0.0000 1
P5 P 0.0000 0.6341 0.2327 1
P6 P 0.2327 0.0000 0.6341 1
P7 P 0.2327 0.6341 0.0000 1
P8 P 0.3659 0.3659 0.5986 1
P9 P 0.3659 0.5986 0.3659 1
P10 P 0.4014 0.7673 0.7673 1
P11 P 0.4245 0.0000 0.0000 1
P12 P 0.5755 0.5755 0.5755 1
P13 P 0.5986 0.3659 0.3659 1
P14 P 0.6341 0.0000 0.2327 1
P15 P 0.6341 0.2327 0.0000 1
P16 P 0.7673 0.4014 0.7673 1
P17 P 0.7673 0.7673 0.4014 1


# PBEsol LaNi2P2, relaxed
# formation enthalpy at 0 K	-5.3	eV per formula unit
data_LaNi2P2
_symmetry_space_group_name_H-M 'P 1'
_symmetry_Int_Tables_number 1
_cell_length_a 3.9597
_cell_length_b 3.9597
_cell_length_c 9.4900
_cell_angle_alpha 90.00
_cell_angle_beta 90.00
_cell_angle_gamma 90.00
loop_
_symmetry_equiv_pos_as_xyz
'x,y,z'
loop_
_atom_site_label
_atom_site_type_symbol
_atom_site_fract_x
_atom_site_fract_y
_atom_site_fract_z
_atom_site_occupancy
La1 La 0.0000 0.0000 0.0000 1
La2 La 0.5000 0.5000 0.5000 1
Ni1 Ni 0.0000 0.5000 0.2500 1
Ni2 Ni 0.0000 0.5000 0.7500 1
Ni3 Ni 0.5000 0.0000 0.2500 1
Ni4 Ni 0.5000 0.0000 0.7500 1
P1 P 0.0000 0.0000 0.3696 1
P2 P 0.0000 0.0000 0.6304 1
P3 P 0.5000 0.5000 0.1304 1
P4 P 0.5000 0.5000 0.8696 1


# PBEsol LaNiP2, relaxed
# formation enthalpy at 0 K	-1.6	eV per formula unit
data_LaNiP2
_symmetry_space_group_name_H-M 'P 1'
_symmetry_Int_Tables_number 1
_cell_length_a 3.3285
_cell_length_b 3.3285
_cell_length_c 6.1456
_cell_angle_alpha 90.00
_cell_angle_beta 90.00
_cell_angle_gamma 90.00
loop_
_symmetry_equiv_pos_as_xyz
'x,y,z'
loop_
_atom_site_label
_atom_site_type_symbol
_atom_site_fract_x
_atom_site_fract_y
_atom_site_fract_z
_atom_site_occupancy
La1 La 0.0000 0.0000 0.0000 1
Ni1 Ni 0.5000 0.5000 0.3761 1
P1 P 0.0000 0.0000 0.4962 1
P2 P 0.5000 0.5000 0.7256 1


# PBEsol LaNi2P, relaxed
# formation enthalpy at 0 K	-0.5	eV per formula unit
data_LaNi2P
_symmetry_space_group_name_H-M 'P 1'
_symmetry_Int_Tables_number 1
_cell_length_a 4.1440
_cell_length_b 4.1440
_cell_length_c 7.6011
_cell_angle_alpha 90.00
_cell_angle_beta 90.00
_cell_angle_gamma 90.00
loop_
_symmetry_equiv_pos_as_xyz
'x,y,z'
loop_
_atom_site_label
_atom_site_type_symbol
_atom_site_fract_x
_atom_site_fract_y
_atom_site_fract_z
_atom_site_occupancy
La1 La 0.0000 0.0000 0.0000 1
La2 La 0.5000 0.5000 0.5000 1
Ni1 Ni 0.0000 0.0000 0.5000 1
Ni2 Ni 0.0000 0.5000 0.2500 1
Ni3 Ni 0.5000 0.0000 0.7500 1
Ni4 Ni 0.5000 0.5000 0.0000 1
P1 P 0.0000 0.5000 0.7500 1
P2 P 0.5000 0.0000 0.2500 1


# PBEsol LaNi5P3, relaxed
# formation enthalpy at 0 K	-8.0	eV per formula unit
data_LaNi5P3
_symmetry_space_group_name_H-M 'P 1'
_symmetry_Int_Tables_number 1
_cell_length_a 6.0533
_cell_length_b 6.0533
_cell_length_c 11.3733
_cell_angle_alpha 90.00
_cell_angle_beta 90.00
_cell_angle_gamma 145.51
loop_
_symmetry_equiv_pos_as_xyz
'x,y,z'
loop_
_atom_site_label
_atom_site_type_symbol
_atom_site_fract_x
_atom_site_fract_y
_atom_site_fract_z
_atom_site_occupancy
La1 La 0.1624 0.8376 0.7500 1
La2 La 0.8376 0.1624 0.2500 1
Ni1 Ni 0.0000 0.0000 0.0000 1
Ni2 Ni 0.0000 0.0000 0.5000 1
Ni3 Ni 0.1983 0.8017 0.0681 1
Ni4 Ni 0.1983 0.8017 0.4319 1
Ni5 Ni 0.4489 0.5511 0.6454 1
Ni6 Ni 0.4489 0.5511 0.8546 1
Ni7 Ni 0.5511 0.4489 0.1454 1
Ni8 Ni 0.5511 0.4489 0.3546 1
Ni9 Ni 0.8017 0.1983 0.5681 1
Ni10 Ni 0.8017 0.1983 0.9319 1
P1 P 0.1161 0.8839 0.2500 1
P2 P 0.3821 0.6179 0.0388 1
P3 P 0.3821 0.6179 0.4612 1
P4 P 0.6179 0.3821 0.5388 1
P5 P 0.6179 0.3821 0.9612 1
P6 P 0.8839 0.1161 0.7500 1


# PBEsol LaNi2P, relaxed
# formation enthalpy at 0 K	-2.6	eV per formula unit
data_LaNi2P
_symmetry_space_group_name_H-M 'P 1'
_symmetry_Int_Tables_number 1
_cell_length_a 3.7798
_cell_length_b 3.7798
_cell_length_c 4.8069
_cell_angle_alpha 90.00
_cell_angle_beta 90.00
_cell_angle_gamma 90.00
loop_
_symmetry_equiv_pos_as_xyz
'x,y,z'
loop_
_atom_site_label
_atom_site_type_symbol
_atom_site_fract_x
_atom_site_fract_y
_atom_site_fract_z
_atom_site_occupancy
La1 La 0.0000 0.0000 0.0000 1
Ni1 Ni 0.0000 0.5000 0.4683 1
Ni2 Ni 0.5000 0.0000 0.4683 1
P1 P 0.5000 0.5000 0.6867 1


# PBEsol LaNiP2S, relaxed
# E_form (uncorrected)	1.23	eV per atom
data_LaNiP2S
_symmetry_space_group_name_H-M 'P 1'
_symmetry_Int_Tables_number 1
_cell_length_a 5.3050
_cell_length_b 5.3050
_cell_length_c 5.2955
_cell_angle_alpha 90.00
_cell_angle_beta 90.00
_cell_angle_gamma 90.00
loop_
_symmetry_equiv_pos_as_xyz
'x,y,z'
loop_
_atom_site_label
_atom_site_type_symbol
_atom_site_fract_x
_atom_site_fract_y
_atom_site_fract_z
_atom_site_occupancy
La1 La 0.0000 0.0000 0.0000 1
Ni1 Ni 0.5000 0.5000 0.5000 1
P1 P 0.0000 0.5000 0.0000 1
P2 P 0.5000 0.0000 0.0000 1
S1 S 0.0000 0.0000 0.5000 1


# PBEsol La3NiPb, relaxed
# formation enthalpy at 0 K	-1.6	eV per formula unit
data_La3NiPb
_symmetry_space_group_name_H-M 'P 1'
_symmetry_Int_Tables_number 1
_cell_length_a 5.3259
_cell_length_b 5.3259
_cell_length_c 5.3259
_cell_angle_alpha 90.00
_cell_angle_beta 90.00
_cell_angle_gamma 90.00
loop_
_symmetry_equiv_pos_as_xyz
'x,y,z'
loop_
_atom_site_label
_atom_site_type_symbol
_atom_site_fract_x
_atom_site_fract_y
_atom_site_fract_z
_atom_site_occupancy
La1 La 0.0000 0.0000 0.5000 1
La2 La 0.0000 0.5000 0.0000 1
La3 La 0.5000 0.0000 0.0000 1
Ni1 Ni 0.0000 0.0000 0.0000 1
Pb1 Pb 0.5000 0.5000 0.5000 1


# PBEsol La5NiPb3, relaxed
# formation enthalpy at 0 K	-4.8	eV per formula unit
data_La5NiPb3
_symmetry_space_group_name_H-M 'P 1'
_symmetry_Int_Tables_number 1
_cell_length_a 9.5287
_cell_length_b 9.5287
_cell_length_c 7.0007
_cell_angle_alpha 90.00
_cell_angle_beta 90.00
_cell_angle_gamma 120.00
loop_
_symmetry_equiv_pos_as_xyz
'x,y,z'
loop_
_atom_site_label
_atom_site_type_symbol
_atom_site_fract_x
_atom_site_fract_y
_atom_site_fract_z
_atom_site_occupancy
La1 La 0.0000 0.2391 0.2500 1
La2 La 0.0000 0.7609 0.7500 1
La3 La 0.2391 0.0000 0.2500 1
La4 La 0.2391 0.2391 0.7500 1
La5 La 0.3333 0.6667 0.0000 1
La6 La 0.3333 0.6667 0.5000 1
La7 La 0.6667 0.3333 0.0000 1
La8 La 0.6667 0.3333 0.5000 1
La9 La 0.7609 0.0000 0.7500 1
La10 La 0.7609 0.7609 0.2500 1
Ni1 Ni 0.0000 0.0000 0.0000 1
Ni2 Ni 0.0000 0.0000 0.5000 1
Pb1 Pb 0.0000 0.4008 0.7500 1
Pb2 Pb 0.0000 0.5992 0.2500 1
Pb3 Pb 0.4008 0.0000 0.7500 1
Pb4 Pb 0.4008 0.4008 0.2500 1
Pb5 Pb 0.5992 0.0000 0.2500 1
Pb6 Pb 0.5992 0.5992 0.7500 1


# PBEsol LaNiPb2, relaxed
# formation enthalpy at 0 K	-1.1	eV per formula unit
# relative energy among the computed polymorphs	0.00	kcal/mol of atoms
data_LaNiPb2
_symmetry_space_group_name_H-M 'P 1'
_symmetry_Int_Tables_number 1
_cell_length_a 4.4553
_cell_length_b 4.4553
_cell_length_c 17.1052
_cell_angle_alpha 90.00
_cell_angle_beta 90.00
_cell_angle_gamma 120.00
loop_
_symmetry_equiv_pos_as_xyz
'x,y,z'
loop_
_atom_site_label
_atom_site_type_symbol
_atom_site_fract_x
_atom_site_fract_y
_atom_site_fract_z
_atom_site_occupancy
La1 La 0.0000 0.0000 0.0000 1
La2 La 0.3333 0.6667 0.6667 1
La3 La 0.6667 0.3333 0.3333 1
Ni1 Ni 0.0000 0.0000 0.5000 1
Ni2 Ni 0.3333 0.6667 0.1667 1
Ni3 Ni 0.6667 0.3333 0.8333 1
Pb1 Pb 0.0000 0.0000 0.2217 1
Pb2 Pb 0.0000 0.0000 0.7783 1
Pb3 Pb 0.3333 0.6667 0.4449 1
Pb4 Pb 0.3333 0.6667 0.8884 1
Pb5 Pb 0.6667 0.3333 0.1116 1
Pb6 Pb 0.6667 0.3333 0.5551 1


Q: Which volume values were calculated for the entries above? A: 12.8; 18.3; 17.6; 14.9; 17.0; 16.3; 13.1; 17.2; 29.8; 30.2; 30.6; 24.5, in A^3/atom.